Density functional theory data (PBE-GGA) for a relaxed In2Si2I crystal.

Output
As for the uncorrected formation energy: 0.205 eV per atom. The offset from the most stable computed form is 0.0000 eV per atom. The value obtained for the magnetic moment is 0.00 μB per cell.

Cell: 3.712 3.712 18.310 Å, 90.00 90.00 90.00°
Space group I4/mmm (No. 139)
One atom of each set of equivalent atoms:
In 0.000 0.000 0.121 [4 per cell]
Si 0.000 0.500 0.250 [4 per cell]
I 0.000 0.000 0.500 [2 per cell]